[1]
VASP calculation (PBE) on Sr2CrCl after structural relaxation.

Values from the calculation:
- energy relative to the elements, uncorrected (eV per atom) = -0.14
- total moment (μB/f.u.) = 4.94
- symmetry = Fm-3m, No. 225
- ΔE to the lowest computed polymorph (meV/atom) = 277.5

Cell and atoms, written as POSCAR:
```
Sr2CrCl
1.0
0.000 4.078 4.078
4.078 0.000 4.078
4.078 4.078 0.000
Sr Cr Cl
2 1 1
direct
0.250 0.250 0.250
0.750 0.750 0.750
0.000 0.000 0.000
0.500 0.500 0.500
```

[2]
VASP calculation (PBE) on MnCo after structural relaxation.

Values from the calculation:
- total moment (μB/f.u.) = 4.04
- symmetry = Pm-3m, No. 221
- formation enthalpy at 0 K (eV/atom) = -0.001

Cell and atoms, written as POSCAR:
```
MnCo
1.0
2.856 0.000 0.000
0.000 2.856 0.000
0.000 0.000 2.856
Mn Co
1 1
direct
0.000 0.000 0.000
0.500 0.500 0.500
```

[3]
VASP calculation (PBE) on TlZnMo2 after structural relaxation.

Values from the calculation:
- total moment (μB/f.u.) = 0.00
- symmetry = Cmm2, No. 35
- ΔE to the lowest computed polymorph (meV/atom) = 59.2
- formation enthalpy at 0 K (eV/atom) = 0.395

Cell and atoms, written as POSCAR:
```
TlZnMo2
1.0
1.626 -2.425 0.000
1.626 2.425 0.000
0.000 0.000 9.371
Tl Zn Mo
1 1 2
direct
0.000 0.000 0.000
0.500 0.500 0.281
0.000 0.000 0.510
0.500 0.500 0.722
```

[4]
VASP calculation (PBE) on VCoMo2 after structural relaxation.

Values from the calculation:
- total moment (μB/f.u.) = 1.77
- symmetry = Fm-3m, No. 225
- ΔE to the lowest computed polymorph (meV/atom) = 34.5
- formation enthalpy at 0 K (eV/atom) = 0.105

Cell and atoms, written as POSCAR:
```
VCoMo2
1.0
0.000 3.037 3.037
3.037 0.000 3.037
3.037 3.037 0.000
V Co Mo
1 1 2
direct
0.000 0.000 0.000
0.500 0.500 0.500
0.250 0.250 0.250
0.750 0.750 0.750
```

[5]
VASP calculation (PBE) on K3Cu2AgBr9 after structural relaxation.

Values from the calculation:
- energy relative to the elements, uncorrected (eV per atom) = -0.84
- total moment (μB/f.u.) = 0.00
- symmetry = P-3m1, No. 164

Cell and atoms, written as POSCAR:
```
K3Cu2AgBr9
1.0
7.411 0.000 0.000
-3.706 6.418 0.000
0.000 0.000 9.115
K Cu Ag Br
3 2 1 9
direct
0.000 0.000 0.000
0.333 0.667 0.668
0.667 0.333 0.332
0.333 0.667 0.161
0.667 0.333 0.839
0.000 0.000 0.500
0.000 0.500 0.000
0.171 0.343 0.325
0.171 0.829 0.325
0.343 0.171 0.675
0.500 0.000 0.000
0.500 0.500 0.000
0.657 0.829 0.325
0.829 0.171 0.675
0.829 0.657 0.675
```

[6]
VASP calculation (PBE) on DyMgAlNi after structural relaxation.

Values from the calculation:
- total moment (μB/f.u.) = 0.00
- symmetry = F-43m, No. 216
- formation enthalpy at 0 K (eV/atom) = -0.253

Cell and atoms, written as POSCAR:
```
DyMgAlNi
1.0
0.000 3.351 3.351
3.351 0.000 3.351
3.351 3.351 0.000
Dy Mg Al Ni
1 1 1 1
direct
0.000 0.000 0.000
0.500 0.500 0.500
0.750 0.750 0.750
0.250 0.250 0.250
```

[7]
VASP calculation (PBE) on NbV3Rh6 after structural relaxation.

Values from the calculation:
- total moment (μB/f.u.) = 0.00
- symmetry = P2_1/m, No. 11
- formation enthalpy at 0 K (eV/atom) = -0.392

Cell and atoms, written as POSCAR:
```
NbV3Rh6
1.0
8.458 0.000 0.000
0.000 3.871 0.000
-0.271 0.000 8.727
Nb V Rh
2 6 12
direct
0.059 0.250 0.382
0.941 0.750 0.618
0.251 0.250 0.009
0.349 0.750 0.802
0.443 0.250 0.601
0.557 0.750 0.399
0.651 0.250 0.198
0.749 0.750 0.991
0.063 0.750 0.904
0.155 0.750 0.199
0.156 0.250 0.705
0.256 0.750 0.502
0.368 0.250 0.304
0.458 0.750 0.101
0.542 0.250 0.899
0.632 0.750 0.696
0.744 0.250 0.498
0.844 0.750 0.295
0.845 0.250 0.801
0.937 0.250 0.096
```

[8]
VASP calculation (PBE) on PrMg5Hg2 after structural relaxation.

Values from the calculation:
- total moment (μB/f.u.) = 0.00
- symmetry = Immm, No. 71
- formation enthalpy at 0 K (eV/atom) = -0.241

Cell and atoms, written as POSCAR:
```
PrMg5Hg2
1.0
-1.978 4.361 5.619
1.978 -4.361 5.619
1.978 4.361 -5.619
Pr Mg Hg
1 5 2
direct
0.000 0.000 0.000
0.158 0.357 0.801
0.444 0.643 0.801
0.500 0.000 0.500
0.556 0.357 0.199
0.842 0.643 0.199
0.237 0.737 0.500
0.763 0.263 0.500
```